Record 1
Material: Be6Re
Method: DFT, PBE-GGA
State: relaxed

Cell lengths 4.531, 4.531, 4.531 Å; angles 109.47, 109.47, 109.47 degrees
Positions (direct):
Be1 0.250 0.500 0.750
Be2 0.250 0.750 0.500
Be3 0.500 0.250 0.750
Be4 0.500 0.750 0.250
Be5 0.750 0.250 0.500
Be6 0.750 0.500 0.250
Re1 0.000 0.000 0.000

Values from the calculation:
Calculated formation energy: 29.113 kcal/mol of atoms
ΔE to the lowest computed polymorph: 1.405 eV per atom
Total magnetic moment: 0.00 μB/atom
Final energy: -3.71 eV/atom
SG: Im-3m, No. 229


Record 2
Material: Be3Re
Method: DFT, PBE-GGA
State: relaxed

Cell lengths 4.761, 4.761, 3.978 Å; angles 90.00, 90.00, 120.00 degrees
Positions (direct):
Be1 0.162 0.325 0.250
Be2 0.162 0.838 0.250
Be3 0.325 0.162 0.750
Be4 0.675 0.838 0.250
Be5 0.838 0.162 0.750
Be6 0.838 0.675 0.750
Re1 0.333 0.667 0.750
Re2 0.667 0.333 0.250

Values from the calculation:
Calculated formation energy: -1.940 kcal/mol of atoms
Total magnetic moment: 0.00 μB/atom
Final energy: -5.99 eV/atom
SG: P6_3/mmc, No. 194


The highest final energy belongs to which entry? Be6Re


total magnetic moment of number 1 (Be6Re)? 0.00 μB/atom


What is the formula in the second record? Be3Re